# 1
Crystalline LiNd4Zn2 at its relaxed geometry. Source: Alexandria, functional PBE-GGA.

Values from the calculation:
magnetic moment	0.00	μB/f.u.
calculated total energy	-3.423	eV per atom
ΔH_f (0 K)	-61	meV/atom
distance to the lowest polymorph of the same formula	0	meV per atom

a b c (Å): 5.1955 5.1955 8.8694
angles (deg): 72.97 72.97 60.00
With the nearest neighbours (Å) after each atom.
Sites, in units of the cell vectors:
1 Li 0.0000 0.0000 0.0000  8 Nd 3.25-3.28, 6 Zn 3.57
2 Nd 0.8692 0.8692 0.3925  4 Zn 3.14-3.29, 1 Li 3.28, 3 Nd 3.50
3 Nd 0.1308 0.1308 0.6075  4 Zn 3.14-3.29, 1 Li 3.28, 3 Nd 3.50
4 Nd 0.6172 0.6172 0.1484  4 Zn 3.08-3.17, 3 Li 3.25
5 Nd 0.3828 0.3828 0.8516  4 Zn 3.08-3.17, 3 Li 3.25
6 Zn 0.7436 0.7436 0.7691  8 Nd 3.08-3.29
7 Zn 0.2564 0.2564 0.2309  8 Nd 3.08-3.29

***

# 2
Crystalline LiDySbAu at its relaxed geometry. Source: Alexandria, functional PBE-GGA.

Values from the calculation:
magnetic moment	0.00	μB/f.u.
calculated total energy	-4.223	eV per atom

a b c (Å): 5.0332 5.0332 5.0332
angles (deg): 60.00 60.00 60.00
With the nearest neighbours (Å) after each atom.
Sites, in units of the cell vectors:
1 Sb 0.0000 0.0000 0.0000  4 Li 3.08, 4 Dy 3.08
2 Li 0.2500 0.2500 0.2500  4 Sb 3.08, 4 Au 3.08
3 Au 0.5000 0.5000 0.5000  4 Dy 3.08, 4 Li 3.08
4 Dy 0.7500 0.7500 0.7500  4 Sb 3.08, 4 Au 3.08

***

What is the calculated total energy in the second record? -4.223 eV per atom